Entry from the Alexandria database: an optimized crystal structure of HfAs2PBr (GGA-PBE).

extended XYZ file:
```
5
Lattice="-1.524 2.432 -3.829 1.329 -3.623 -2.830 -4.298 -1.947 0.475" Properties=species:S:1:pos:R:3 pbc="T T T"
P 0.000 0.000 0.000
As 0.664 -1.811 -1.415
As -0.762 1.216 -1.914
Hf -2.247 -1.569 -3.092
Br -2.149 -0.973 0.237
```

Computed properties:
- Space-group type: No. 123
- Formation energy from raw total energies: 571 meV/atom
- Spin magnetization: 0.0 μB per formula unit
- Energy above the most stable polymorph in this dataset: 101 meV per atom


Entry from the Alexandria database: an optimized crystal structure of HfAsPBr2 (GGA-PBE).

extended XYZ file:
```
5
Lattice="-3.551 1.890 -3.267 0.020 -4.477 -2.611 -3.934 -1.878 3.190" Properties=species:S:1:pos:R:3 pbc="T T T"
P -3.732 -2.232 -1.344
As -1.967 -0.939 1.595
Hf 0.000 0.000 0.000
Br 0.010 -2.238 -1.305
Br -1.776 0.945 -1.634
```

Computed properties:
- Space-group type: No. 123
- Formation energy from raw total energies: 163 meV/atom
- Spin magnetization: 2.0 μB per formula unit
- Energy above the most stable polymorph in this dataset: 0 meV per atom


Entry from the Alexandria database: an optimized crystal structure of HfAsPBr2 (GGA-PBE).

extended XYZ file:
```
5
Lattice="4.810 0.000 0.000 0.000 4.810 0.000 0.000 0.000 5.174" Properties=species:S:1:pos:R:3 pbc="T T T"
P 0.000 0.000 0.000
As 0.000 0.000 2.587
Hf 2.405 2.405 2.587
Br 0.000 2.405 0.000
Br 2.405 0.000 0.000
```

Computed properties:
- Space-group type: No. 123
- Formation energy from raw total energies: 638 meV/atom
- Spin magnetization: 0.8 μB per formula unit
- Energy above the most stable polymorph in this dataset: 475 meV per atom


Entry from the Alexandria database: an optimized crystal structure of HfAs2PbBr (GGA-PBE).

extended XYZ file:
```
5
Lattice="5.338 0.000 0.000 0.000 5.338 0.000 0.000 0.000 5.344" Properties=species:S:1:pos:R:3 pbc="T T T"
Pb 0.000 0.000 0.000
As 0.000 2.669 0.000
As 2.669 0.000 0.000
Hf 2.669 2.669 2.672
Br 0.000 0.000 2.672
```

Computed properties:
- Space-group type: No. 123
- Formation energy from raw total energies: 990 meV/atom
- Spin magnetization: 0.2 μB per formula unit
- Energy above the most stable polymorph in this dataset: 1202 meV per atom


Entry from the Alexandria database: an optimized crystal structure of HfAs2PbBr (GGA-PBE).

extended XYZ file:
```
5
Lattice="5.216 0.000 0.000 0.000 5.216 0.000 0.000 0.000 5.241" Properties=species:S:1:pos:R:3 pbc="T T T"
Pb 2.608 2.608 2.620
As 0.000 2.608 0.000
As 2.608 0.000 0.000
Hf 0.000 0.000 0.000
Br 0.000 0.000 2.620
```

Computed properties:
- Space-group type: No. 123
- Formation energy from raw total energies: -212 meV/atom
- Spin magnetization: 0.0 μB per formula unit
- Energy above the most stable polymorph in this dataset: 0 meV per atom


Entry from the Alexandria database: an optimized crystal structure of HfAsPdBr2 (GGA-PBE).

extended XYZ file:
```
5
Lattice="-1.797 2.180 4.020 3.781 -1.723 2.624 2.683 4.225 -1.092" Properties=species:S:1:pos:R:3 pbc="T T T"
As 1.342 2.113 -0.546
Hf 2.333 2.341 2.776
Br 1.890 -0.861 1.312
Br -0.898 1.090 2.010
Pd 0.000 0.000 0.000
```

Computed properties:
- Space-group type: No. 123
- Formation energy from raw total energies: 454 meV/atom
- Spin magnetization: 0.8 μB per formula unit
- Energy above the most stable polymorph in this dataset: 417 meV per atom


Entry from the Alexandria database: an optimized crystal structure of HfAsPdBr2 (GGA-PBE).

extended XYZ file:
```
5
Lattice="-2.059 1.394 4.560 -4.424 -2.411 -1.261 1.801 -4.441 2.171" Properties=species:S:1:pos:R:3 pbc="T T T"
As 0.901 -2.221 1.085
Hf 0.000 0.000 0.000
Br -2.212 -1.205 -0.631
Br -1.030 0.697 2.280
Pd -2.341 -2.729 2.735
```

Computed properties:
- Space-group type: No. 123
- Formation energy from raw total energies: 37 meV/atom
- Spin magnetization: 0.6 μB per formula unit
- Energy above the most stable polymorph in this dataset: 0 meV per atom


Entry from the Alexandria database: an optimized crystal structure of HfAs2PdBr (GGA-PBE).

extended XYZ file:
```
5
Lattice="4.860 0.000 0.000 0.000 4.860 0.000 0.000 0.000 4.918" Properties=species:S:1:pos:R:3 pbc="T T T"
As 0.000 2.430 0.000
As 2.430 0.000 0.000
Hf 2.430 2.430 2.459
Br 0.000 0.000 2.459
Pd 0.000 0.000 0.000
```

Computed properties:
- Space-group type: No. 123
- Formation energy from raw total energies: 476 meV/atom
- Spin magnetization: 0.0 μB per formula unit
- Energy above the most stable polymorph in this dataset: 191 meV per atom


Entry from the Alexandria database: an optimized crystal structure of HfAs2PdBr (GGA-PBE).

extended XYZ file:
```
5
Lattice="-3.805 2.635 2.290 -2.331 -4.439 1.236 2.600 -0.123 4.462" Properties=species:S:1:pos:R:3 pbc="T T T"
As -1.165 -2.220 0.618
As -1.903 1.318 1.145
Hf 0.000 0.000 0.000
Br 1.300 -0.061 2.231
Pd -1.768 -0.963 3.994
```

Computed properties:
- Space-group type: No. 123
- Formation energy from raw total energies: 285 meV/atom
- Spin magnetization: 0.0 μB per formula unit
- Energy above the most stable polymorph in this dataset: 0 meV per atom


Entry from the Alexandria database: an optimized crystal structure of HfAsPtBr2 (GGA-PBE).

extended XYZ file:
```
5
Lattice="-3.933 2.712 1.429 -2.842 -4.097 -0.045 1.164 -0.861 4.837" Properties=species:S:1:pos:R:3 pbc="T T T"
As 0.582 -0.430 2.419
Hf -2.805 -1.123 3.110
Br -1.421 -2.049 -0.023
Br -1.967 1.356 0.714
Pt 0.000 0.000 0.000
```

Computed properties:
- Space-group type: No. 123
- Formation energy from raw total energies: 561 meV/atom
- Spin magnetization: 0.7 μB per formula unit
- Energy above the most stable polymorph in this dataset: 249 meV per atom


Entry from the Alexandria database: an optimized crystal structure of HfAsPtBr2 (GGA-PBE).

extended XYZ file:
```
5
Lattice="-4.699 -1.877 -0.107 1.181 -3.170 3.765 -1.564 3.710 3.615" Properties=species:S:1:pos:R:3 pbc="T T T"
As -0.782 1.855 1.808
Hf 0.000 0.000 0.000
Br 0.590 -1.585 1.882
Br -2.350 -0.939 -0.054
Pt -2.542 -0.669 3.636
```

Computed properties:
- Space-group type: No. 123
- Formation energy from raw total energies: 312 meV/atom
- Spin magnetization: 0.6 μB per formula unit
- Energy above the most stable polymorph in this dataset: 0 meV per atom


Entry from the Alexandria database: an optimized crystal structure of Rb2HfAsBr6 (GGA-PBE).

extended XYZ file:
```
10
Lattice="-4.797 3.971 5.678 5.177 -2.535 6.147 3.448 5.661 5.207" Properties=species:S:1:pos:R:3 pbc="T T T"
As 0.190 0.718 5.912
Hf 0.000 0.000 0.000
Br 2.013 3.484 5.518
Br 1.815 3.613 11.514
Br 0.084 0.316 2.606
Br 0.297 1.119 9.219
Br -2.599 2.537 5.781
Br 2.979 -1.101 6.044
Rb -0.579 5.175 8.399
Rb 4.408 1.922 8.633
```

Computed properties:
- Space-group type: No. 225
- Formation energy from raw total energies: -1103 meV/atom
- Spin magnetization: 3.0 μB per formula unit


| no. | final energy (eV/f.u.) |
| --- | --- |
| 1 | -23.5 |
| 2 | -22.5 |
| 3 | -20.2 |
| 4 | -19.7 |
| 5 | -25.7 |
| 6 | -20.9 |
| 7 | -23.0 |
| 8 | -23.7 |
| 9 | -24.7 |
| 10 | -21.2 |
| 11 | -22.4 |
| 12 | -37.6 |